A geometry-optimized Rb2UPdS6 structure. Source: the Alexandria database, functional PBE.

ΔE_f (raw): -0.771 eV per atom
energy: -50.9 eV/cell

extended XYZ file:
```
10
Lattice="4.9508 -4.9706 0.0000 4.9508 4.9706 0.0000 -4.9435 0.0000 4.9673" Properties=species:S:1:pos:R:3 pbc="T T T"
Rb 4.9508 2.4837 0.0000
Rb 4.9508 -2.4837 0.0000
U -2.4718 0.0000 2.4836
Pd 2.4790 0.0000 2.4836
S 2.4790 2.4509 2.4836
S 2.4767 0.0000 0.0363
S 0.0518 0.0000 2.4782
S 4.9061 0.0000 2.4891
S 2.4813 0.0000 4.9310
S 2.4790 -2.4509 2.4836
```